This record from Alexandria describes a relaxed Mn2ZnPt crystal. The functional is PBE.

a b c (Å): 8.871 2.824 4.739
angles (deg): 90.00 100.83 90.00
Sites, in units of the cell vectors:
Mn1 0.250 0.000 0.245
Mn2 0.250 0.500 0.755
Mn3 0.750 0.000 0.755
Mn4 0.750 0.500 0.245
Zn1 0.000 0.500 0.000
Zn2 0.500 0.000 0.000
Pt1 0.000 0.000 0.500
Pt2 0.500 0.500 0.500

DFT formation energy in eV/atom: -0.065
Space group: C2/m (12)

This record from Alexandria describes a relaxed LiCd3P crystal. The functional is PBE.

a b c (Å): 4.812 4.812 4.812
angles (deg): 90.00 90.00 90.00
Sites, in units of the cell vectors:
Li1 0.000 0.000 0.000
Cd1 0.000 0.000 0.500
Cd2 0.000 0.500 0.000
Cd3 0.500 0.000 0.000
P1 0.500 0.500 0.500

DFT formation energy in eV/atom: 0.563
Space group: Pm-3m (221)
Energy relative to the lowest polymorph listed for this composition in eV/f.u.: 1.34

This record from Alexandria describes a relaxed Cs2K5Au crystal. The functional is PBE.

a b c (Å): 18.655 8.507 8.507
angles (deg): 90.00 117.00 90.00
Sites, in units of the cell vectors:
Cs1 0.000 0.000 0.000
Cs2 0.000 0.500 0.499
Cs3 0.500 0.000 0.499
Cs4 0.500 0.500 0.000
K1 0.224 0.260 0.984
K2 0.224 0.740 0.984
K3 0.225 0.259 0.465
K4 0.225 0.741 0.465
K5 0.419 0.000 0.918
K6 0.724 0.240 0.984
K7 0.724 0.760 0.984
K8 0.725 0.241 0.465
K9 0.725 0.759 0.465
K10 0.919 0.500 0.918
Au1 0.116 0.500 0.117
Au2 0.616 0.000 0.117

DFT formation energy in eV/atom: -0.027
Space group: Cm (8)

This record from Alexandria describes a relaxed Tm2MgPtO5 crystal. The functional is PBE.

a b c (Å): 6.329 6.329 5.816
angles (deg): 90.00 90.00 90.00
Sites, in units of the cell vectors:
Tm1 0.173 0.327 0.000
Tm2 0.327 0.827 0.000
Tm3 0.673 0.173 0.000
Tm4 0.827 0.673 0.000
Mg1 0.000 0.000 0.500
Mg2 0.500 0.500 0.500
Pt1 0.000 0.500 0.500
Pt2 0.500 0.000 0.500
O1 0.000 0.000 0.000
O2 0.146 0.646 0.241
O3 0.146 0.646 0.759
O4 0.354 0.146 0.241
O5 0.354 0.146 0.759
O6 0.500 0.500 0.000
O7 0.646 0.854 0.241
O8 0.646 0.854 0.759
O9 0.854 0.354 0.241
O10 0.854 0.354 0.759

Uncorrected formation energy in eV per atom: -2.3228
Space group: P4/mbm (127)

This record from Alexandria describes a relaxed Ce2Ga5Ru3 crystal. The functional is PBE.

a b c (Å): 12.711 12.711 6.965
angles (deg): 90.00 90.00 161.08
Sites, in units of the cell vectors:
Ce1 0.028 0.972 0.500
Ce2 0.324 0.676 0.403
Ce3 0.676 0.324 0.903
Ce4 0.972 0.028 0.000
Ga1 0.099 0.901 0.112
Ga2 0.205 0.795 0.586
Ga3 0.208 0.792 0.200
Ga4 0.369 0.631 0.947
Ga5 0.447 0.553 0.338
Ga6 0.553 0.447 0.838
Ga7 0.631 0.369 0.447
Ga8 0.792 0.208 0.700
Ga9 0.795 0.205 0.086
Ga10 0.901 0.099 0.612
Ru1 0.108 0.892 0.726
Ru2 0.266 0.734 0.891
Ru3 0.454 0.546 0.720
Ru4 0.546 0.454 0.220
Ru5 0.734 0.266 0.391
Ru6 0.892 0.108 0.226

DFT formation energy in eV/atom: -0.472
Space group: Cmc2_1 (36)

This record from Alexandria describes a relaxed La8Rh3CCl4 crystal. The functional is PBE.

a b c (Å): 8.198 8.198 8.958
angles (deg): 117.24 117.24 59.93
Sites, in units of the cell vectors:
La1 0.223 0.223 0.697
La2 0.223 0.751 0.697
La3 0.249 0.777 0.303
La4 0.263 0.263 0.289
La5 0.737 0.737 0.711
La6 0.751 0.223 0.697
La7 0.777 0.249 0.303
La8 0.777 0.777 0.303
Rh1 0.000 0.500 0.500
Rh2 0.500 0.000 0.500
Rh3 0.500 0.500 0.500
C1 0.000 0.000 0.500
Cl1 0.000 0.000 0.000
Cl2 0.000 0.500 0.000
Cl3 0.500 0.000 0.000
Cl4 0.500 0.500 0.000

Uncorrected formation energy in eV per atom: -1.1654
Space group: C2/m (12)

This record from Alexandria describes a relaxed Pu3Al crystal. The functional is PBE.

a b c (Å): 6.868 6.868 6.868
angles (deg): 90.00 90.00 90.00
Sites, in units of the cell vectors:
Pu1 0.000 0.000 0.000
Pu2 0.000 0.500 0.500
Pu3 0.250 0.250 0.250
Pu4 0.250 0.250 0.750
Pu5 0.250 0.750 0.250
Pu6 0.250 0.750 0.750
Pu7 0.500 0.000 0.500
Pu8 0.500 0.500 0.000
Pu9 0.750 0.250 0.250
Pu10 0.750 0.250 0.750
Pu11 0.750 0.750 0.250
Pu12 0.750 0.750 0.750
Al1 0.000 0.000 0.500
Al2 0.000 0.500 0.000
Al3 0.500 0.000 0.000
Al4 0.500 0.500 0.500

DFT formation energy in eV/atom: 0.052
Space group: Fm-3m (225)

This record from Alexandria describes a relaxed KBeCl2 crystal. The functional is PBE.

a b c (Å): 3.193 8.886 9.844
angles (deg): 90.00 90.00 90.00
Sites, in units of the cell vectors:
K1 0.000 0.000 0.000
K2 0.500 0.500 0.000
Be1 0.000 0.000 0.500
Be2 0.500 0.500 0.500
Cl1 0.000 0.500 0.353
Cl2 0.000 0.500 0.647
Cl3 0.500 0.000 0.353
Cl4 0.500 0.000 0.647

Uncorrected formation energy in eV per atom: -0.6520
Space group: Cmmm (65)
Energy relative to the lowest polymorph listed for this composition in eV/f.u.: 1.33

This record from Alexandria describes a relaxed LaPm7Y2 crystal. The functional is PBE.

a b c (Å): 9.458 9.458 5.695
angles (deg): 90.00 90.00 124.74
Sites, in units of the cell vectors:
La1 0.000 0.000 0.000
Pm1 0.064 0.291 0.500
Pm2 0.217 0.783 0.000
Pm3 0.291 0.064 0.500
Pm4 0.500 0.500 0.500
Pm5 0.709 0.936 0.500
Pm6 0.783 0.217 0.000
Pm7 0.936 0.709 0.500
Y1 0.295 0.705 0.500
Y2 0.705 0.295 0.500

DFT formation energy in eV/atom: 0.652
Space group: Cmmm (65)
Energy relative to the lowest polymorph listed for this composition in eV/f.u.: 4.61

This record from Alexandria describes a relaxed La3Mg crystal. The functional is PBE.

a b c (Å): 6.346 11.725 7.184
angles (deg): 90.00 90.00 90.00
Sites, in units of the cell vectors:
La1 0.068 0.250 0.131
La2 0.236 0.505 0.389
La3 0.236 0.995 0.389
La4 0.264 0.005 0.889
La5 0.264 0.495 0.889
La6 0.432 0.750 0.631
La7 0.568 0.250 0.369
La8 0.736 0.505 0.111
La9 0.736 0.995 0.111
La10 0.764 0.005 0.611
La11 0.764 0.495 0.611
La12 0.932 0.750 0.869
Mg1 0.085 0.250 0.632
Mg2 0.415 0.750 0.132
Mg3 0.585 0.250 0.868
Mg4 0.915 0.750 0.368

DFT formation energy in eV/atom: -0.008
Space group: Pnma (62)

This record from Alexandria describes a relaxed CsCo2HCl crystal. The functional is PBE.

a b c (Å): 4.183 4.183 7.434
angles (deg): 90.00 90.00 90.00
Sites, in units of the cell vectors:
Cs1 0.000 0.000 0.000
Co1 0.000 0.500 0.500
Co2 0.500 0.000 0.500
H1 0.000 0.000 0.500
Cl1 0.500 0.500 0.000

Raw total energy in eV/atom: -3.49
Space group: P4/mmm (123)

This record from Alexandria describes a relaxed PrY2Ga2Cu2 crystal. The functional is PBE.

a b c (Å): 9.699 9.699 9.699
angles (deg): 26.40 26.40 26.40
Sites, in units of the cell vectors:
Pr1 0.000 0.000 0.000
Y1 0.125 0.125 0.125
Y2 0.875 0.875 0.875
Ga1 0.260 0.260 0.260
Ga2 0.740 0.740 0.740
Cu1 0.404 0.404 0.404
Cu2 0.596 0.596 0.596

DFT formation energy in eV/atom: -0.391
Space group: R-3m (166)

Number 1: calculated density 10.55 g/cm3. Number 2: calculated density 5.59 g/cm3. Number 3: calculated density 1.82 g/cm3. Number 4: calculated density 9.09 g/cm3. Number 5: calculated density 8.49 g/cm3. Number 6: calculated density 5.91 g/cm3. Number 7: calculated density 15.56 g/cm3. Number 8: calculated density 1.42 g/cm3. Number 9: calculated density 5.28 g/cm3. Number 10: calculated density 5.48 g/cm3. Number 11: calculated density 3.67 g/cm3. Number 12: calculated density 6.12 g/cm3.